[1]
Compound: Lu2CoOs
Source: the Alexandria database
Functional: SCAN
Structure: single point on PBEsol structure

Values from the calculation:
M_tot, Bohr magnetons per cell: 4.4
Crystal system: cubic
Energy relative to the elements, eV per atom: -0.422

a = 6.5007 Å, b = 6.5007 Å, c = 6.5007 Å
α = 90.00°, β = 90.00°, γ = 90.00°
Last column: nearest neighbours and their distance in Å.
Space group Fm-3m (No. 225)
One atom of each set of equivalent atoms:
Lu1 0.2500 0.2500 0.2500  4 Co 2.81, 4 Os 2.81
Co1 0.0000 0.0000 0.0000  8 Lu 2.81
Os1 0.0000 0.0000 0.5000  8 Lu 2.81

[2]
Compound: LuCo3P2
Source: the Alexandria database
Functional: SCAN
Structure: single point on PBEsol structure

Values from the calculation:
M_tot, Bohr magnetons per cell: 5.7
Crystal system: orthorhombic
Energy relative to the elements, eV per atom: -0.918

a = 3.5968 Å, b = 10.3183 Å, c = 11.9234 Å
α = 90.00°, β = 90.00°, γ = 90.00°
Last column: nearest neighbours and their distance in Å.
Space group Pmmn (No. 59, origin choice 2)
One atom of each set of equivalent atoms:
Lu1 0.2500 0.0680 0.2060  6 P 2.74-2.80, 9 Co 2.82-2.99
Lu2 0.2500 0.2500 0.4764  6 P 2.77-2.87, 8 Co 2.79-3.04
Co1 0.2500 0.1285 0.7087  4 P 2.20-2.29
Co2 0.2500 0.2500 0.0143  4 P 2.15-2.19
Co3 0.2500 0.5480 0.4310  4 P 2.20-2.31
Co4 0.2500 0.5831 0.9944  4 P 2.19-2.26
Co5 0.2500 0.7500 0.1601  5 P 2.23-2.47
Co6 0.2500 0.7500 0.7029  3 P 2.13-2.19
P1 0.2500 0.0971 0.8915  5 Co 2.15-2.26
P2 0.2500 0.5625 0.6169  5 Co 2.19-2.25
P3 0.2500 0.7500 0.3468  7 Co 2.23-2.31
P4 0.2500 0.7500 0.8815  5 Co 2.13-2.19

[3]
Compound: Lu2CoRh
Source: the Alexandria database
Functional: SCAN
Structure: single point on PBEsol structure

Values from the calculation:
M_tot, Bohr magnetons per cell: 3.0
Crystal system: cubic
Energy relative to the elements, eV per atom: -0.731

a = 6.5006 Å, b = 6.5006 Å, c = 6.5006 Å
α = 90.00°, β = 90.00°, γ = 90.00°
Last column: nearest neighbours and their distance in Å.
Space group Fm-3m (No. 225)
One atom of each set of equivalent atoms:
Lu1 0.2500 0.2500 0.2500  4 Co 2.81, 4 Rh 2.81
Co1 0.0000 0.0000 0.0000  8 Lu 2.81
Rh1 0.0000 0.0000 0.5000  8 Lu 2.81

[4]
Compound: LuScCo2
Source: the Alexandria database
Functional: SCAN
Structure: single point on PBEsol structure

Values from the calculation:
M_tot, Bohr magnetons per cell: 3.3
Crystal system: cubic
Energy relative to the elements, eV per atom: -0.315

a = 6.2649 Å, b = 6.2649 Å, c = 6.2649 Å
α = 90.00°, β = 90.00°, γ = 90.00°
Last column: nearest neighbours and their distance in Å.
Space group Fm-3m (No. 225)
One atom of each set of equivalent atoms:
Lu1 0.0000 0.0000 0.0000  8 Co 2.71
Sc1 0.0000 0.0000 0.5000  8 Co 2.71
Co1 0.2500 0.2500 0.2500  4 Lu 2.71, 4 Sc 2.71

[5]
Compound: LuCoSi
Source: the Alexandria database
Functional: SCAN
Structure: single point on PBEsol structure

Values from the calculation:
M_tot, Bohr magnetons per cell: 0.0
Crystal system: orthorhombic
E_form (uncorrected), eV per atom: -0.737

a = 6.6164 Å, b = 4.0615 Å, c = 6.8197 Å
α = 90.00°, β = 90.00°, γ = 90.00°
Last column: nearest neighbours and their distance in Å.
Space group Pnma (No. 62)
One atom of each set of equivalent atoms:
Lu1 0.0128 0.2500 0.1916  4 Co 2.77-2.83, 6 Si 2.83-3.08
Co1 0.1507 0.7500 0.4350  4 Si 2.33-2.46
Si1 0.1989 0.2500 0.6055  4 Co 2.33-2.46

[6]
Compound: Lu5Co4Si14
Source: the Alexandria database
Functional: SCAN
Structure: single point on PBEsol structure

Values from the calculation:
M_tot, Bohr magnetons per cell: 0.0
Crystal system: monoclinic
E_form (uncorrected), eV per atom: -0.613

a = 12.0934 Å, b = 7.6645 Å, c = 7.6142 Å
α = 90.00°, β = 98.91°, γ = 90.00°
Last column: nearest neighbours and their distance in Å.
Space group P2_1/c (No. 14)
One atom of each set of equivalent atoms:
Lu1 0.0000 0.0000 0.0000  12 Si 2.84-2.99, 6 Co 3.00-3.02
Lu2 0.3653 0.2485 0.3423  10 Si 2.83-3.03, 2 Co 3.02-3.03
Lu3 0.3655 0.7488 0.3400  10 Si 2.82-3.04, 2 Co 3.02-3.03
Co1 0.9997 0.1260 0.6266  7 Si 2.23-2.45
Co2 0.2508 0.9997 0.0614  5 Si 2.25-2.26
Si1 0.0001 0.1674 0.3329  3 Co 2.23-2.27
Si2 0.1789 0.0057 0.7703  2 Co 2.25-2.45, 2 Si 2.39-2.51
Si3 0.1787 0.2275 0.5503  2 Co 2.26-2.45, 2 Si 2.39-2.52
Si4 0.1791 0.5058 0.8174  2 Co 2.25-2.45, 2 Si 2.39-2.52
Si5 0.1787 0.7272 0.0383  2 Co 2.26-2.45, 2 Si 2.39-2.51
Si6 0.4373 0.0003 0.6101  2 Si 2.40-2.43
Si7 0.4404 0.0005 0.1104  1 Co 2.26, 2 Si 2.38-2.40